# 1
A geometry-optimized Ga2HgSb structure. Source: Alexandria via LeMat-Bulk, functional PBE-GGA.

Output
distance to the lowest polymorph of the same formula: 0.006 eV/atom
calculated volume: 23.9 A^3/atom
space group: Fm-3m (225)
formation energy (no corrections): 0.067 eV per atom
total energy: -2.55 eV/atom

Cell: 5.131 5.131 5.131 Å, 60.00 60.00 60.00°
Fractional coordinates of all 4 atoms:
Sb  0.000  0.000  0.000
Ga  0.750  0.750  0.750
Ga  0.250  0.250  0.250
Hg  0.500  0.500  0.500


# 2
A geometry-optimized MnAl2BPd structure. Source: Alexandria via LeMat-Bulk, functional PBE-GGA.

Output
formation energy from the elements: 5.1 eV per formula unit
calculated volume: 21.0 A^3/atom
space group: P4/mmm (123)
total energy: -4.68 eV/atom

Cell: 4.627 4.908 4.627 Å, 90.00 90.00 90.00°
Site moments in Bohr magnetons follow the coordinates.
Fractional coordinates of all 5 atoms:
Al  0.000  0.000  0.500  0.00
Al  0.500  0.000  0.000  0.00
B  0.500  0.500  0.500  -0.14
Pd  0.000  0.000  0.000  0.07
Mn  0.000  0.500  0.000  4.19


# 3
A geometry-optimized AgSbTe2Cl structure. Source: Alexandria via LeMat-Bulk, functional PBE-GGA.

Output
distance to the lowest polymorph of the same formula: 0.309 eV/atom
calculated volume: 32.3 A^3/atom
space group: P4/mmm (123)
formation energy (no corrections): 0.821 eV per atom
total energy: -2.20 eV/atom

Cell: 5.607 5.607 5.132 Å, 90.00 90.00 90.00°
Site moments in Bohr magnetons follow the coordinates.
Fractional coordinates of all 5 atoms:
Ag  0.500  0.500  0.500  0.00
Sb  0.000  0.000  0.500  0.08
Te  0.000  0.500  0.000  0.02
Te  0.500  0.000  0.000  0.02
Cl  0.000  0.000  0.000  0.01


# 4
A geometry-optimized TlHgPO5 structure. Source: Alexandria via LeMat-Bulk, functional PBE-GGA.

Output
calculated volume: 14.7 A^3/atom
space group: C2/c (15)
formation energy (no corrections): -1.272 eV per atom
total energy: -5.38 eV/atom

Cell: 5.862 5.862 7.651 Å, 105.71 105.71 99.46°
Fractional coordinates of all 16 atoms:
P  0.332  0.668  0.750
P  0.668  0.332  0.250
O  0.856  0.325  0.140
O  0.325  0.856  0.640
O  0.284  0.400  0.608
O  0.675  0.144  0.360
O  0.104  0.896  0.250
O  0.896  0.104  0.750
O  0.600  0.716  0.892
O  0.716  0.600  0.392
O  0.400  0.284  0.108
O  0.144  0.675  0.860
Hg  0.337  0.663  0.250
Hg  0.663  0.337  0.750
Tl  0.000  0.000  0.000
Tl  0.000  0.000  0.500


# 5
A geometry-optimized AlIrN3 structure. Source: Alexandria via LeMat-Bulk, functional PBE-GGA.

Output
calculated volume: 11.5 A^3/atom
space group: Pm-3m (221)
formation energy (no corrections): 1.306 eV per atom
total energy: -6.21 eV/atom

Cell: 3.862 3.862 3.862 Å, 90.00 90.00 90.00°
Fractional coordinates of all 5 atoms:
N  0.000  0.000  0.500
N  0.000  0.500  0.000
N  0.500  0.000  0.000
Ir  0.000  0.000  0.000
Al  0.500  0.500  0.500


# 6
A geometry-optimized PmDy9Tl2 structure. Source: Alexandria via LeMat-Bulk, functional PBE-GGA.

Output
formation energy from the elements: -1.3 eV per formula unit
calculated volume: 29.8 A^3/atom
space group: P4/mmm (123)
total energy: -4.35 eV/atom

Cell: 4.872 4.872 15.062 Å, 90.00 90.00 90.00°
Fractional coordinates of all 12 atoms:
Dy  0.000  0.500  0.827
Dy  0.500  0.000  0.500
Dy  0.500  0.000  0.827
Dy  0.500  0.500  0.662
Dy  0.500  0.500  0.000
Dy  0.500  0.500  0.338
Dy  0.000  0.500  0.500
Dy  0.500  0.000  0.173
Dy  0.000  0.500  0.173
Tl  0.000  0.000  0.340
Tl  0.000  0.000  0.660
Pm  0.000  0.000  0.000


What did the first record say?
A geometry-optimized Ga2HgSb structure. Source: Alexandria via LeMat-Bulk, functional PBE-GGA.

Output
distance to the lowest polymorph of the same formula: 0.006 eV/atom
calculated volume: 23.9 A^3/atom
space group: Fm-3m (225)
formation energy (no corrections): 0.067 eV per atom
total energy: -2.55 eV/atom

Cell: 5.131 5.131 5.131 Å, 60.00 60.00 60.00°
Fractional coordinates of all 4 atoms:
Sb  0.000  0.000  0.000
Ga  0.750  0.750  0.750
Ga  0.250  0.250  0.250
Hg  0.500  0.500  0.500


Copy entry 5 word for word.
A geometry-optimized AlIrN3 structure. Source: Alexandria via LeMat-Bulk, functional PBE-GGA.

Output
calculated volume: 11.5 A^3/atom
space group: Pm-3m (221)
formation energy (no corrections): 1.306 eV per atom
total energy: -6.21 eV/atom

Cell: 3.862 3.862 3.862 Å, 90.00 90.00 90.00°
Fractional coordinates of all 5 atoms:
N  0.000  0.000  0.500
N  0.000  0.500  0.000
N  0.500  0.000  0.000
Ir  0.000  0.000  0.000
Al  0.500  0.500  0.500


Q: The lowest calculated volume belongs to which entry?
A: AlIrN3


Repeat the third record exactly.
A geometry-optimized AgSbTe2Cl structure. Source: Alexandria via LeMat-Bulk, functional PBE-GGA.

Output
distance to the lowest polymorph of the same formula: 0.309 eV/atom
calculated volume: 32.3 A^3/atom
space group: P4/mmm (123)
formation energy (no corrections): 0.821 eV per atom
total energy: -2.20 eV/atom

Cell: 5.607 5.607 5.132 Å, 90.00 90.00 90.00°
Site moments in Bohr magnetons follow the coordinates.
Fractional coordinates of all 5 atoms:
Ag  0.500  0.500  0.500  0.00
Sb  0.000  0.000  0.500  0.08
Te  0.000  0.500  0.000  0.02
Te  0.500  0.000  0.000  0.02
Cl  0.000  0.000  0.000  0.01